Density functional theory data (GGA-PBE) for an optimized crystal structure of LaSnPb.

The structure in CIF format:
```
data_LaSnPb
_chemical_formula_sum 'La4 Sn4 Pb4'
_symmetry_space_group_name_H-M 'C m c m'
_symmetry_Int_Tables_number 63
_symmetry_space_group_name_Hall '-C 2c 2'
_cell_length_a 4.764
_cell_length_b 17.284
_cell_length_c 4.496
_cell_angle_alpha 90.00
_cell_angle_beta 90.00
_cell_angle_gamma 90.00
loop_
_atom_site_label
_atom_site_type_symbol
_atom_site_fract_x
_atom_site_fract_y
_atom_site_fract_z
La1 La 0.000 0.096 0.250
Sn1 Sn 0.000 0.441 0.250
Pb1 Pb 0.000 0.257 0.750
```

## Properties
* energy above the most stable polymorph in this dataset: 0.0000 eV per atom

***

Density functional theory data (GGA-PBE) for an optimized crystal structure of CdTc2Ru.

The structure in CIF format:
```
data_CdTc2Ru
_chemical_formula_sum 'Cd3 Tc6 Ru3'
_symmetry_space_group_name_H-M 'R 3 m'
_symmetry_Int_Tables_number 160
_symmetry_space_group_name_Hall 'R 3 -2"'
_cell_length_a 2.8048
_cell_length_b 2.8048
_cell_length_c 27.5880
_cell_angle_alpha 90.00
_cell_angle_beta 90.00
_cell_angle_gamma 120.00
loop_
_atom_site_label
_atom_site_type_symbol
_atom_site_fract_x
_atom_site_fract_y
_atom_site_fract_z
Cd1 Cd 0.0000 0.0000 0.0000
Tc1 Tc 0.0000 0.0000 0.5009
Tc2 Tc 0.0000 0.0000 0.7576
Ru1 Ru 0.0000 0.0000 0.2440
```

## Properties
* VASP energy: -90.31 eV for the cell shown

***

Density functional theory data (GGA-PBE) for an optimized crystal structure of NiIr2Os.

The structure in CIF format:
```
data_NiIr2Os
_chemical_formula_sum 'Ni1 Ir2 Os1'
_symmetry_space_group_name_H-M 'P 4/m m m'
_symmetry_Int_Tables_number 123
_symmetry_space_group_name_Hall '-P 4 2'
_cell_length_a 3.816
_cell_length_b 3.816
_cell_length_c 3.782
_cell_angle_alpha 90.00
_cell_angle_beta 90.00
_cell_angle_gamma 90.00
loop_
_atom_site_label
_atom_site_type_symbol
_atom_site_fract_x
_atom_site_fract_y
_atom_site_fract_z
Ni1 Ni 0.000 0.000 0.000
Ir1 Ir 0.000 0.500 0.500
Os1 Os 0.500 0.500 0.000
```

## Properties
* energy above the most stable polymorph in this dataset: 0.1699 eV per atom

***

Density functional theory data (GGA-PBE) for an optimized crystal structure of Nd8Ni2Pt.

The structure in CIF format:
```
data_Nd8Ni2Pt
_chemical_formula_sum 'Nd16 Ni4 Pt2'
_symmetry_space_group_name_H-M 'C 1 2/m 1'
_symmetry_Int_Tables_number 12
_cell_length_a 18.354
_cell_length_b 5.205
_cell_length_c 6.726
_cell_angle_alpha 90.00
_cell_angle_beta 107.51
_cell_angle_gamma 90.00
loop_
_symmetry_equiv_pos_as_xyz
'x,y,z'
'-x,-y,-z'
'-x,y,-z'
'x,-y,z'
'x+1/2,y+1/2,z'
'-x+1/2,-y+1/2,-z'
'-x+1/2,y+1/2,-z'
'x+1/2,-y+1/2,z'
loop_
_atom_site_label
_atom_site_type_symbol
_atom_site_fract_x
_atom_site_fract_y
_atom_site_fract_z
Nd1 Nd 0.034 0.000 0.295
Nd2 Nd 0.092 0.500 0.962
Nd3 Nd 0.177 0.500 0.504
Nd4 Nd 0.199 0.000 0.853
Ni1 Ni 0.174 0.000 0.244
Pt1 Pt 0.000 0.500 0.500
```

## Properties
* energy above the most stable polymorph in this dataset: 0.0000 eV per atom

***

Density functional theory data (GGA-PBE) for an optimized crystal structure of PmNdSm2Ho5.

The structure in CIF format:
```
data_PmNdSm2Ho5
_chemical_formula_sum 'Pm4 Nd4 Sm8 Ho20'
_symmetry_space_group_name_H-M 'I 4/m c m'
_symmetry_Int_Tables_number 140
_symmetry_space_group_name_Hall '-I 4 2c'
_cell_length_a 8.701
_cell_length_b 8.701
_cell_length_c 15.508
_cell_angle_alpha 90.00
_cell_angle_beta 90.00
_cell_angle_gamma 90.00
loop_
_atom_site_label
_atom_site_type_symbol
_atom_site_fract_x
_atom_site_fract_y
_atom_site_fract_z
Pm1 Pm 0.000 0.000 0.250
Nd1 Nd 0.000 0.500 0.250
Sm1 Sm 0.117 0.383 0.000
Ho1 Ho 0.000 0.000 0.000
Ho2 Ho 0.207 0.293 0.364
```

## Properties
* VASP energy: -158.05 eV for the cell shown

***

Density functional theory data (GGA-PBE) for an optimized crystal structure of Pm2CoAg.

The structure in CIF format:
```
data_Pm2CoAg
_chemical_formula_sum 'Pm8 Co4 Ag4'
_symmetry_space_group_name_H-M 'F m -3 m'
_symmetry_Int_Tables_number 225
_symmetry_space_group_name_Hall '-F 4 2 3'
_cell_length_a 7.185
_cell_length_b 7.185
_cell_length_c 7.185
_cell_angle_alpha 90.00
_cell_angle_beta 90.00
_cell_angle_gamma 90.00
loop_
_atom_site_label
_atom_site_type_symbol
_atom_site_fract_x
_atom_site_fract_y
_atom_site_fract_z
Pm1 Pm 0.250 0.250 0.250
Co1 Co 0.000 0.000 0.000
Ag1 Ag 0.000 0.000 0.500
```

## Properties
* energy above the most stable polymorph in this dataset: 0.0586 eV per atom

***

Density functional theory data (GGA-PBE) for an optimized crystal structure of BaY2Ir2.

The structure in CIF format:
```
data_BaY2Ir2
_chemical_formula_sum 'Ba2 Y4 Ir4'
_symmetry_space_group_name_H-M 'I 4/m m m'
_symmetry_Int_Tables_number 139
_symmetry_space_group_name_Hall '-I 4 2'
_cell_length_a 4.746
_cell_length_b 4.746
_cell_length_c 11.978
_cell_angle_alpha 90.00
_cell_angle_beta 90.00
_cell_angle_gamma 90.00
loop_
_atom_site_label
_atom_site_type_symbol
_atom_site_fract_x
_atom_site_fract_y
_atom_site_fract_z
Ba1 Ba 0.000 0.000 0.000
Y1 Y 0.000 0.500 0.250
Ir1 Ir 0.000 0.000 0.391
```

## Properties
* energy above the most stable polymorph in this dataset: 0.0000 eV per atom

***

Density functional theory data (GGA-PBE) for an optimized crystal structure of KTbTe4.

The structure in CIF format:
```
data_KTbTe4
_chemical_formula_sum 'K2 Tb2 Te8'
_symmetry_space_group_name_H-M 'P 4/n b m'
_symmetry_Int_Tables_number 125
_cell_length_a 6.859
_cell_length_b 6.859
_cell_length_c 8.919
_cell_angle_alpha 90.00
_cell_angle_beta 90.00
_cell_angle_gamma 90.00
loop_
_symmetry_equiv_pos_as_xyz
'x,y,z'
'-x,-y,-z'
'-y+1/2,x,z'
'y+1/2,-x,-z'
'-x+1/2,-y+1/2,z'
'x+1/2,y+1/2,-z'
'y,-x+1/2,z'
'-y,x+1/2,-z'
'x,-y+1/2,-z'
'-x,y+1/2,z'
'-y+1/2,-x+1/2,-z'
'y+1/2,x+1/2,z'
'-x+1/2,y,-z'
'x+1/2,-y,z'
'y,x,-z'
'-y,-x,z'
loop_
_atom_site_label
_atom_site_type_symbol
_atom_site_fract_x
_atom_site_fract_y
_atom_site_fract_z
K1 K 0.250 0.250 0.000
Tb1 Tb 0.250 0.250 0.500
Te1 Te 0.104 0.604 0.292
```

## Properties
* raw formation energy: -5.60 eV per formula unit